1.
Density functional theory data (PBE-GGA) for BaTlAs after structural relaxation.

Unit cell a=5.731 b=9.934 c=6.899 alpha=90.00 beta=90.00 gamma=90.00
Space group Cmcm (No. 63)
Symmetry-distinct sites (fractional):
Ba: 0.000 0.167 0.250
Tl: 0.000 0.500 0.000
As: 0.000 0.166 0.750

Summary:
Formation energy from the elements   -0.61 eV per atom
Total DFT energy (no corrections)   -43.1 eV/cell



2.
Density functional theory data (PBE-GGA) for Ba2TlAs2 after structural relaxation.

Unit cell a=5.718 b=5.718 c=11.693 alpha=90.00 beta=90.00 gamma=90.00
Space group I4/mmm (No. 139)
Symmetry-distinct sites (fractional):
Ba: 0.000 0.500 0.250
Tl: 0.000 0.000 0.000
As: 0.000 0.000 0.392

Summary:
Formation energy from the elements   -0.46 eV per atom
Total DFT energy (no corrections)   -35.6 eV/cell



3.
Density functional theory data (PBE-GGA) for BaTl3As after structural relaxation.

Unit cell a=6.367 b=6.367 c=6.367 alpha=90.00 beta=90.00 gamma=90.00
Space group Pm-3m (No. 221)
Symmetry-distinct sites (fractional):
Ba: 0.000 0.000 0.000
Tl: 0.000 0.000 0.500
As: 0.500 0.500 0.500

Summary:
Formation energy from the elements   0.90 eV per atom
Total DFT energy (no corrections)   -9.2 eV/cell



4.
Density functional theory data (PBE-GGA) for BaTl4As after structural relaxation.

Unit cell a=9.200 b=9.200 c=9.200 alpha=90.00 beta=90.00 gamma=90.00
Space group F-43m (No. 216)
Symmetry-distinct sites (fractional):
Ba: 0.000 0.000 0.000
Tl: 0.124 0.124 0.624
As: 0.250 0.250 0.250

Summary:
Formation energy from the elements   -0.03 eV per atom
Total DFT energy (no corrections)   -64.8 eV/cell



5.
Density functional theory data (PBE-GGA) for BaTlAs3 after structural relaxation.

Unit cell a=5.917 b=5.917 c=5.917 alpha=90.00 beta=90.00 gamma=90.00
Space group Pm-3m (No. 221)
Symmetry-distinct sites (fractional):
Ba: 0.000 0.000 0.000
Tl: 0.500 0.500 0.500
As: 0.000 0.000 0.500

Summary:
Formation energy from the elements   0.81 eV per atom
Total DFT energy (no corrections)   -14.2 eV/cell



6.
Density functional theory data (PBE-GGA) for Ba3TlAs after structural relaxation.

Unit cell a=6.360 b=6.360 c=6.360 alpha=90.00 beta=90.00 gamma=90.00
Space group Pm-3m (No. 221)
Symmetry-distinct sites (fractional):
Ba: 0.000 0.000 0.500
Tl: 0.500 0.500 0.500
As: 0.000 0.000 0.000

Summary:
Formation energy from the elements   -0.52 eV per atom
Total DFT energy (no corrections)   -15.4 eV/cell



7.
Density functional theory data (PBE-GGA) for BaTl2As after structural relaxation.

Unit cell a=4.623 b=4.623 c=6.188 alpha=90.00 beta=90.00 gamma=90.00
Space group P4mm (No. 99)
Symmetry-distinct sites (fractional):
Ba: 0.000 0.000 0.000
Tl: 0.000 0.500 0.485
As: 0.500 0.500 0.826

Summary:
Formation energy from the elements   -0.49 eV per atom
Total DFT energy (no corrections)   -13.3 eV/cell



8.
Density functional theory data (PBE-GGA) for BaTlAs3 after structural relaxation.

Unit cell a=5.413 b=5.413 c=5.413 alpha=90.00 beta=90.00 gamma=90.00
Space group Pm-3m (No. 221)
Symmetry-distinct sites (fractional):
Ba: 0.000 0.000 0.000
Tl: 0.500 0.500 0.500
As: 0.000 0.500 0.500

Summary:
Formation energy from the elements   0.17 eV per atom
Total DFT energy (no corrections)   -17.4 eV/cell



9.
Density functional theory data (PBE-GGA) for BaTlAs after structural relaxation.

Unit cell a=4.6840 b=4.6840 c=5.4916 alpha=90.00 beta=90.00 gamma=120.00
Space group P3m1 (No. 156)
Symmetry-distinct sites (fractional):
Ba: 0.0000 0.0000 0.0000
Tl: 0.6667 0.3333 0.4385
As: 0.3333 0.6667 0.6738

Summary:
Formation energy from the elements   -0.69 eV per atom
Total DFT energy (no corrections)   -11.0 eV/cell



10.
Density functional theory data (PBE-GGA) for Ba2TlAs2 after structural relaxation.

Unit cell a=9.478 b=9.478 c=3.801 alpha=90.00 beta=90.00 gamma=90.00
Space group P4/mbm (No. 127)
Symmetry-distinct sites (fractional):
Ba: 0.135 0.365 0.000
Tl: 0.000 0.000 0.000
As: 0.166 0.666 0.500

Summary:
Formation energy from the elements   -0.59 eV per atom
Total DFT energy (no corrections)   -36.9 eV/cell



11.
Density functional theory data (PBE-GGA) for BaTl3As after structural relaxation.

Unit cell a=5.690 b=5.690 c=5.690 alpha=90.00 beta=90.00 gamma=90.00
Space group Pm-3m (No. 221)
Symmetry-distinct sites (fractional):
Ba: 0.000 0.000 0.000
Tl: 0.000 0.500 0.500
As: 0.500 0.500 0.500

Summary:
Formation energy from the elements   0.03 eV per atom
Total DFT energy (no corrections)   -13.5 eV/cell



12.
Density functional theory data (PBE-GGA) for BaTlAs after structural relaxation.

Unit cell a=7.742 b=7.742 c=7.742 alpha=90.00 beta=90.00 gamma=90.00
Space group F-43m (No. 216)
Symmetry-distinct sites (fractional):
Ba: 0.000 0.000 0.000
Tl: 0.000 0.000 0.500
As: 0.250 0.250 0.750

Summary:
Formation energy from the elements   -0.56 eV per atom
Total DFT energy (no corrections)   -42.4 eV/cell



13.
Density functional theory data (PBE-GGA) for BaTlAs after structural relaxation.

Unit cell a=8.232 b=5.004 c=10.290 alpha=90.00 beta=90.00 gamma=90.00
Space group Pnma (No. 62)
Symmetry-distinct sites (fractional):
Ba: 0.140 0.250 0.151
Tl: 0.021 0.750 0.414
As: 0.146 0.250 0.822

Summary:
Formation energy from the elements   -0.70 eV per atom
Total DFT energy (no corrections)   -44.2 eV/cell



14.
Density functional theory data (PBE-GGA) for BaTl2As after structural relaxation.

Unit cell a=4.742 b=4.742 c=11.455 alpha=90.00 beta=90.00 gamma=90.00
Space group I4/mmm (No. 139)
Symmetry-distinct sites (fractional):
Ba: 0.000 0.000 0.000
Tl: 0.000 0.500 0.250
As: 0.000 0.000 0.500

Summary:
Formation energy from the elements   -0.33 eV per atom
Total DFT energy (no corrections)   -25.2 eV/cell



15.
Density functional theory data (PBE-GGA) for Ba3TmAs3 after structural relaxation.

Unit cell a=9.549 b=8.329 c=13.296 alpha=90.00 beta=94.97 gamma=90.00
Space group P2_1/c (No. 14)
Symmetry-distinct sites (fractional):
Ba: 0.081 0.159 0.134
Ba: 0.331 0.732 0.796
Ba: 0.396 0.231 0.924
Tm: 0.164 0.592 0.055
As: 0.097 0.048 0.369
As: 0.262 0.606 0.518
As: 0.366 0.080 0.666

Summary:
Formation energy from the elements   -1.17 eV per atom
Total DFT energy (no corrections)   -129.5 eV/cell



16.
Density functional theory data (PBE-GGA) for BaTmAs2 after structural relaxation.

Unit cell a=4.3553 b=4.3553 c=21.8892 alpha=90.00 beta=90.00 gamma=120.00
Space group R-3m (No. 166, hexagonal axes)
Symmetry-distinct sites (fractional):
Ba: 0.0000 0.0000 0.0000
Tm: 0.0000 0.0000 0.5000
As: 0.0000 0.0000 0.2337

Summary:
Formation energy from the elements   -1.11 eV per atom
Total DFT energy (no corrections)   -60.4 eV/cell



17.
Density functional theory data (PBE-GGA) for Ba2TmAs2 after structural relaxation.

Unit cell a=7.831 b=13.118 c=6.846 alpha=90.00 beta=90.00 gamma=90.00
Space group Ibam (No. 72)
Symmetry-distinct sites (fractional):
Ba: 0.146 0.149 0.000
Tm: 0.000 0.500 0.250
As: 0.225 0.396 0.000

Summary:
Formation energy from the elements   -1.05 eV per atom
Total DFT energy (no corrections)   -91.4 eV/cell



18.
Density functional theory data (PBE-GGA) for Ba3Tm2UAs6 after structural relaxation.

Unit cell a=7.422 b=12.851 c=7.858 alpha=90.00 beta=108.30 gamma=90.00
Space group C2/m (No. 12)
Symmetry-distinct sites (fractional):
Ba: 0.000 0.000 0.000
Ba: 0.000 0.329 0.000
Tm: 0.000 0.166 0.500
U: 0.000 0.500 0.500
As: 0.227 0.340 0.701
As: 0.248 0.000 0.703

Summary:
Formation energy from the elements   -1.14 eV per atom
Total DFT energy (no corrections)   -135.1 eV/cell



19.
Density functional theory data (PBE-GGA) for Ba2TmUAs4 after structural relaxation.

Unit cell a=7.402 b=4.346 c=7.849 alpha=90.00 beta=108.57 gamma=90.00
Space group P2/m (No. 10)
Symmetry-distinct sites (fractional):
Ba: 0.000 0.000 0.000
Ba: 0.500 0.500 0.000
Tm: 0.000 0.500 0.500
U: 0.500 0.000 0.500
As: 0.244 0.000 0.702
As: 0.273 0.500 0.300

Summary:
Formation energy from the elements   -1.08 eV per atom
Total DFT energy (no corrections)   -46.8 eV/cell



20.
Density functional theory data (PBE-GGA) for Ba5UAs4 after structural relaxation.

Unit cell a=20.003 b=4.543 c=9.151 alpha=90.00 beta=102.05 gamma=90.00
Space group C2/m (No. 12)
Symmetry-distinct sites (fractional):
Ba: 0.000 0.000 0.000
Ba: 0.159 0.500 0.819
Ba: 0.169 0.500 0.341
U: 0.000 0.000 0.500
As: 0.003 0.500 0.285
As: 0.150 0.000 0.573

Summary:
Formation energy from the elements   -0.83 eV per atom
Total DFT energy (no corrections)   -95.6 eV/cell



21.
Density functional theory data (PBE-GGA) for Ba2UAs3 after structural relaxation.

Unit cell a=7.739 b=13.396 c=7.926 alpha=90.00 beta=109.15 gamma=90.00
Space group C2/m (No. 12)
Symmetry-distinct sites (fractional):
Ba: 0.000 0.000 0.000
Ba: 0.000 0.160 0.500
Ba: 0.000 0.500 0.500
U: 0.000 0.332 0.000
As: 0.197 0.500 0.204
As: 0.245 0.314 0.793

Summary:
Formation energy from the elements   -0.96 eV per atom
Total DFT energy (no corrections)   -139.3 eV/cell



22.
Density functional theory data (PBE-GGA) for Ba2YUAs4 after structural relaxation.

Unit cell a=7.444 b=4.361 c=7.864 alpha=90.00 beta=108.58 gamma=90.00
Space group P2/m (No. 10)
Symmetry-distinct sites (fractional):
Ba: 0.000 0.000 0.000
Ba: 0.500 0.500 0.000
Y: 0.000 0.500 0.500
U: 0.500 0.000 0.500
As: 0.247 0.000 0.704
As: 0.276 0.500 0.299

Summary:
Formation energy from the elements   -1.10 eV per atom
Total DFT energy (no corrections)   -49.0 eV/cell



23.
Density functional theory data (PBE-GGA) for Ba3Y2UAs6 after structural relaxation.

Unit cell a=7.469 b=12.932 c=7.879 alpha=90.00 beta=108.39 gamma=90.00
Space group C2/m (No. 12)
Symmetry-distinct sites (fractional):
Ba: 0.000 0.000 0.000
Ba: 0.000 0.329 0.000
Y: 0.000 0.166 0.500
U: 0.000 0.500 0.500
As: 0.226 0.341 0.703
As: 0.248 0.500 0.295

Summary:
Formation energy from the elements   -1.16 eV per atom
Total DFT energy (no corrections)   -143.7 eV/cell



24.
Density functional theory data (PBE-GGA) for Ba2VAs2 after structural relaxation.

Unit cell a=6.514 b=6.514 c=11.384 alpha=90.00 beta=90.00 gamma=90.00
Space group I4/mmm (No. 139)
Symmetry-distinct sites (fractional):
Ba: 0.000 0.500 0.250
V: 0.000 0.000 0.000
As: 0.000 0.000 0.210

Summary:
Formation energy from the elements   -0.34 eV per atom
Total DFT energy (no corrections)   -48.0 eV/cell



25.
Density functional theory data (PBE-GGA) for Ba2VAs2 after structural relaxation.

Unit cell a=7.707 b=7.707 c=4.901 alpha=90.00 beta=90.00 gamma=90.00
Space group P4/mbm (No. 127)
Symmetry-distinct sites (fractional):
Ba: 0.153 0.347 0.000
V: 0.000 0.000 0.500
As: 0.164 0.664 0.500

Summary:
Formation energy from the elements   -0.44 eV per atom
Total DFT energy (no corrections)   -48.9 eV/cell